Record 1
Ca5Zn3: single point on PBEsol structure, meta-GGA SCAN.

Lattice parameters (Å, degrees): 8.0582 10.4239 5.1376 90.00 90.00 90.00
Closest atoms and distances in Å follow each position.
Space group Cmmm (No. 65)
Symmetry-distinct sites (fractional):
Ca1 0.0000 0.0000 0.0000 (multiplicity 2)  8 Ca 3.29-3.47, 4 Zn 3.41
Ca2 0.2106 0.5000 0.5000 (multiplicity 4)  6 Zn 3.08-3.42, 1 Ca 3.39
Ca3 0.2500 0.2500 0.0000 (multiplicity 4)  6 Zn 3.29, 6 Ca 3.29-3.67
Zn1 0.0000 0.2149 0.5000 (multiplicity 4)  10 Ca 3.23-3.42
Zn2 0.0000 0.5000 0.0000 (multiplicity 2)  8 Ca 3.08-3.29

The calculation puts the formation enthalpy at 0 K at -0.8 eV/f.u. The calculation puts the energy above the most stable polymorph in this dataset at 71 meV per atom.

Record 2
Ca2Zn3: single point on PBEsol structure, meta-GGA SCAN.

Lattice parameters (Å, degrees): 4.4815 4.4815 20.0010 90.00 90.00 120.00
Closest atoms and distances in Å follow each position.
Space group R-3m (No. 166, hexagonal axes)
Symmetry-distinct sites (fractional):
Ca1 0.0000 0.0000 0.0881 (multiplicity 6)  9 Zn 3.03-3.15
Zn1 0.0000 0.0000 0.3355 (multiplicity 6)  3 Zn 2.59
Zn2 0.0000 0.0000 0.5000 (multiplicity 3)  6 Ca 3.03, 2 Zn 3.29

The calculation puts the formation enthalpy at 0 K at -1.1 eV/f.u.

Record 3
CaZn11: single point on PBEsol structure, meta-GGA SCAN.

Lattice parameters (Å, degrees): 10.4566 10.4566 6.6874 90.00 90.00 90.00
Closest atoms and distances in Å follow each position.
Space group I4_1/amd (No. 141, origin choice 2)
Symmetry-distinct sites (fractional):
Ca1 0.0000 0.2500 0.3750 (multiplicity 4)  18 Zn 3.22-3.35
Zn1 0.0000 0.0000 0.0000 (multiplicity 8)  10 Zn 2.54-2.74
Zn2 0.0000 0.2500 0.8750 (multiplicity 4)  12 Zn 2.74-2.82
Zn3 0.1215 0.0442 0.6780 (multiplicity 32)  8 Zn 2.54-2.82

The calculation puts the formation enthalpy at 0 K at -2.6 eV/f.u.

Record 4
CaZn2: single point on PBEsol structure, meta-GGA SCAN.

Lattice parameters (Å, degrees): 4.0491 12.8855 4.6091 90.00 90.00 90.00
Closest atoms and distances in Å follow each position.
Space group Cmcm (No. 63)
Symmetry-distinct sites (fractional):
Ca1 0.0000 0.0886 0.2500 (multiplicity 4)  8 Zn 2.97-3.10, 2 Ca 3.24
Zn1 0.0000 0.2422 0.7500 (multiplicity 4)  2 Zn 2.54
Zn2 0.0000 0.3767 0.2500 (multiplicity 4)  2 Zn 2.54

The calculation puts the formation enthalpy at 0 K at -0.6 eV/f.u.

Record 5
CaZn2: single point on PBEsol structure, meta-GGA SCAN.

Lattice parameters (Å, degrees): 5.4942 5.4942 8.7046 90.00 90.00 120.00
Closest atoms and distances in Å follow each position.
Space group P6_3/mmc (No. 194)
Symmetry-distinct sites (fractional):
Ca1 0.3333 0.6667 0.0583 (multiplicity 4)  12 Zn 3.12-3.21, 4 Ca 3.33-3.34
Zn1 0.0000 0.0000 0.0000 (multiplicity 2)  6 Zn 2.69
Zn2 0.1660 0.3321 0.7500 (multiplicity 6)  6 Zn 2.69-2.76

The calculation puts the formation enthalpy at 0 K at -1.0 eV/f.u.

Record 6
CaZrZn: single point on PBEsol structure, meta-GGA SCAN.

Lattice parameters (Å, degrees): 6.6594 6.6594 6.6594 90.00 90.00 90.00
Closest atoms and distances in Å follow each position.
Space group F-43m (No. 216)
Symmetry-distinct sites (fractional):
Ca1 0.0000 0.0000 0.0000 (multiplicity 4)  4 Zr 2.88
Zr1 0.2500 0.2500 0.7500 (multiplicity 4)  4 Ca 2.88, 4 Zn 2.88
Zn1 0.0000 0.0000 0.5000 (multiplicity 4)  4 Zr 2.88

The calculation puts the formation enthalpy at 0 K at 2.4 eV/f.u.

Record 7
CaZr2Zn: single point on PBEsol structure, meta-GGA SCAN.

Lattice parameters (Å, degrees): 4.3937 4.3937 8.8863 90.00 90.00 90.00
Closest atoms and distances in Å follow each position.
Space group I-4m2 (No. 119)
Symmetry-distinct sites (fractional):
Ca1 0.0000 0.0000 0.0000 (multiplicity 2)  8 Zr 3.11-3.12, 4 Zn 3.12
Zr1 0.0000 0.0000 0.5000 (multiplicity 2)  4 Ca 3.11, 4 Zr 3.12, 4 Zn 3.12
Zr2 0.0000 0.5000 0.7500 (multiplicity 2)  4 Zn 3.11, 4 Zr 3.12, 4 Ca 3.12
Zn1 0.0000 0.5000 0.2500 (multiplicity 2)  8 Zr 3.11-3.12, 4 Ca 3.12

The calculation puts the formation enthalpy at 0 K at 0.9 eV/f.u.

Record 8
CaZrZn3: single point on PBEsol structure, meta-GGA SCAN.

Lattice parameters (Å, degrees): 4.8163 4.8163 4.8163 90.00 90.00 90.00
Closest atoms and distances in Å follow each position.
Space group Pm-3m (No. 221)
Symmetry-distinct sites (fractional):
Ca1 0.0000 0.0000 0.0000 (multiplicity 1)  6 Zn 2.41
Zr1 0.5000 0.5000 0.5000 (multiplicity 1)  12 Zn 3.41
Zn1 0.0000 0.0000 0.5000 (multiplicity 3)  2 Ca 2.41

The calculation puts the formation enthalpy at 0 K at 5.0 eV/f.u.

Record 9
Ca3Zr: single point on PBEsol structure, meta-GGA SCAN.

Lattice parameters (Å, degrees): 3.5311 3.5311 12.0228 90.00 90.00 120.00
Closest atoms and distances in Å follow each position.
Space group P-6m2 (No. 187)
Symmetry-distinct sites (fractional):
Ca1 0.0000 0.0000 0.0000 (multiplicity 1)  12 Ca 3.53-3.89
Ca2 0.6667 0.3333 0.2751 (multiplicity 2)  3 Zr 3.39, 6 Ca 3.53
Zr1 0.0000 0.0000 0.5000 (multiplicity 1)  6 Ca 3.39, 6 Zr 3.53

The calculation puts the formation enthalpy at 0 K at 1.2 eV/f.u. The calculation puts the energy above the most stable polymorph in this dataset at 0 meV per atom.

Record 10
CaZr3: single point on PBEsol structure, meta-GGA SCAN.

Lattice parameters (Å, degrees): 4.5700 4.5700 4.5700 90.00 90.00 90.00
Closest atoms and distances in Å follow each position.
Space group Pm-3m (No. 221)
Symmetry-distinct sites (fractional):
Ca1 0.0000 0.0000 0.0000 (multiplicity 1)  12 Zr 3.23
Zr1 0.0000 0.5000 0.5000 (multiplicity 3)  8 Zr 3.23, 4 Ca 3.23

The calculation puts the formation enthalpy at 0 K at 1.5 eV/f.u.

Record 11
Ca3Zr: single point on PBEsol structure, meta-GGA SCAN.

Lattice parameters (Å, degrees): 11.9276 3.4795 6.3857 90.00 99.28 90.00
Closest atoms and distances in Å follow each position.
Space group C2/m (No. 12)
Symmetry-distinct sites (fractional):
Ca1 0.0000 0.0000 0.0000 (multiplicity 2)  8 Ca 3.48-3.71, 4 Zr 3.64
Ca2 0.2417 0.0000 0.7330 (multiplicity 4)  9 Ca 3.48-3.80, 3 Zr 3.49-3.63
Zr1 0.0000 0.5000 0.5000 (multiplicity 2)  2 Zr 3.48, 10 Ca 3.49-3.64

The calculation puts the formation enthalpy at 0 K at 1.3 eV/f.u. The calculation puts the energy above the most stable polymorph in this dataset at 30 meV per atom.

Record 12
Ca3Zr: single point on PBEsol structure, meta-GGA SCAN.

Lattice parameters (Å, degrees): 3.6877 5.9374 11.8489 90.00 90.00 90.00
Closest atoms and distances in Å follow each position.
Space group Immm (No. 71)
Symmetry-distinct sites (fractional):
Ca1 0.0000 0.0000 0.0000 (multiplicity 2)  4 Zr 3.49, 6 Ca 3.64-3.69
Ca2 0.0000 0.5000 0.2348 (multiplicity 4)  2 Zr 3.34, 8 Ca 3.51-3.69
Zr1 0.0000 0.0000 0.5000 (multiplicity 2)  8 Ca 3.34-3.49, 2 Zr 3.69

The calculation puts the formation enthalpy at 0 K at 1.5 eV/f.u. The calculation puts the energy above the most stable polymorph in this dataset at 86 meV per atom.

Record 13
CaZr: single point on PBEsol structure, meta-GGA SCAN.

Lattice parameters (Å, degrees): 3.4311 4.1365 8.2634 90.00 90.00 90.00
Closest atoms and distances in Å follow each position.
Space group Pmmn (No. 59, origin choice 2)
Symmetry-distinct sites (fractional):
Ca1 0.2500 0.2500 0.1657 (multiplicity 2)  5 Zr 3.38-3.44, 2 Ca 3.43
Zr1 0.2500 0.2500 0.5748 (multiplicity 2)  4 Zr 2.96

The calculation puts the formation enthalpy at 0 K at 0.5 eV/f.u. The calculation puts the energy above the most stable polymorph in this dataset at 0 meV per atom.

Record 14
CaZr: single point on PBEsol structure, meta-GGA SCAN.

Lattice parameters (Å, degrees): 3.7438 3.7438 8.4330 90.00 90.00 90.00
Closest atoms and distances in Å follow each position.
Space group P4/nmm (No. 129, origin choice 2)
Symmetry-distinct sites (fractional):
Ca1 0.2500 0.2500 0.1713 (multiplicity 2)  5 Zr 3.33-3.45
Zr1 0.2500 0.2500 0.5662 (multiplicity 2)  4 Zr 2.87

The calculation puts the formation enthalpy at 0 K at 0.6 eV/f.u. The calculation puts the energy above the most stable polymorph in this dataset at 16 meV per atom.